(1)
## P2AuS2 (PBE)

Data for a relaxed structure of P2AuS2.

Uncorrected energy in eV/atom: -4.443
Space-group type: No. 1
M_tot in Bohr magnetons per cell: 0.0
Raw formation energy in eV/atom: 0.027

Unit cell a=3.737 b=4.652 c=6.757 alpha=84.91 beta=87.93 gamma=89.29
Fractional coordinates of all 5 atoms:
P 0.000 0.000 0.000
P 0.044 0.869 0.686
Au 0.488 0.294 0.085
S 0.456 0.127 0.583
S 0.972 0.622 0.189

(2)
## TlAgSe (PBE)

Data for a relaxed structure of TlAgSe.

Uncorrected energy in eV/atom: -3.140
Space-group type: No. 62
M_tot in Bohr magnetons per cell: 0.0
Raw formation energy in eV/atom: -0.240

Unit cell a=8.404 b=4.698 c=7.668 alpha=90.00 beta=90.00 gamma=90.00
Fractional coordinates of all 12 atoms:
Tl 0.004 0.250 0.182
Tl 0.496 0.750 0.682
Tl 0.504 0.250 0.318
Tl 0.996 0.750 0.818
Ag 0.175 0.750 0.414
Ag 0.325 0.250 0.914
Ag 0.675 0.750 0.086
Ag 0.825 0.250 0.586
Se 0.183 0.250 0.599
Se 0.317 0.750 0.099
Se 0.683 0.250 0.901
Se 0.817 0.750 0.401

(3)
## Rb2TbNpTe4 (PBE)

Data for a relaxed structure of Rb2TbNpTe4.

Uncorrected energy in eV/atom: -5.138
Space-group type: No. 10
M_tot in Bohr magnetons per cell: 4.0
Raw formation energy in eV/atom: -1.129

Unit cell a=7.950 b=4.572 c=8.925 alpha=90.00 beta=107.21 gamma=90.00
Fractional coordinates of all 8 atoms:
Rb 0.000 0.000 0.000
Rb 0.500 0.500 0.000
Tb 0.000 0.500 0.500
Np 0.500 0.000 0.500
Te 0.230 0.000 0.700
Te 0.264 0.500 0.300
Te 0.736 0.500 0.700
Te 0.770 0.000 0.300